No. 1
Compound: Ac2SmGa2
Source: Alexandria via LeMat-Bulk
Functional: PBE
Structure: optimized geometry

Structure (POSCAR):
```
Ac2SmGa2
1.0
-2.373 3.423 4.911
2.373 -3.423 4.911
2.373 3.423 -4.911
Ac Sm Ga
2 1 2
Cartesian
0.000 0.000 1.955
0.000 0.000 7.867
0.000 3.423 0.000
2.373 1.420 0.000
0.000 2.003 4.911
```

## Properties
The value obtained for the formation energy is -0.40 eV/atom. The space group is Immm. For the polymorph energy (0 for the lowest one), the calculation gives 20 meV per atom.



No. 2
Compound: Rb3Tl4Bi2Pd2
Source: Alexandria via LeMat-Bulk
Functional: PBE
Structure: optimized geometry

Structure (POSCAR):
```
Rb3Tl4Bi2Pd2
1.0
4.869 0.000 0.000
-2.434 4.216 0.000
0.000 0.000 20.158
Rb Tl Bi Pd
3 4 2 2
Cartesian
0.000 0.000 0.000
0.000 0.000 6.131
0.000 0.000 14.028
0.000 2.811 8.843
0.000 2.811 17.777
2.434 1.405 2.381
2.434 1.405 11.315
0.000 2.811 3.511
2.434 1.405 16.647
0.000 2.811 11.640
2.434 1.405 8.518
```

## Properties
The value obtained for the formation energy is -0.07 eV/atom. The space group is P-3m1.